(1)
# KLiMg2 | Alexandria via LeMat-Bulk | meta-GGA SCAN | PBEsol geometry
data_KLiMg2
_symmetry_space_group_name_H-M 'P 4/m m m'
_symmetry_Int_Tables_number 123
_symmetry_space_group_name_Hall '-P 4 2'
_cell_length_a 3.584
_cell_length_b 3.584
_cell_length_c 8.937
_cell_angle_alpha 90.00
_cell_angle_beta 90.00
_cell_angle_gamma 90.00
loop_
_atom_site_label
_atom_site_fract_x
_atom_site_fract_y
_atom_site_fract_z
K1 0.000 0.000 0.000
Li1 0.000 0.000 0.500
Mg1 0.500 0.500 0.324
# Energy relative to the elements, eV/atom: 0.126

(2)
# KLiMnO2 | Alexandria via LeMat-Bulk | meta-GGA SCAN | PBEsol geometry
data_KLiMnO2
_symmetry_space_group_name_H-M 'C c c m'
_symmetry_Int_Tables_number 66
_symmetry_space_group_name_Hall '-C 2 2c'
_cell_length_a 8.768
_cell_length_b 9.037
_cell_length_c 6.796
_cell_angle_alpha 90.00
_cell_angle_beta 90.00
_cell_angle_gamma 90.00
loop_
_atom_site_label
_atom_site_fract_x
_atom_site_fract_y
_atom_site_fract_z
K1 0.000 0.000 0.250
K2 0.250 0.250 0.000
Li1 0.000 0.360 0.250
Mn1 0.227 0.398 0.500
O1 0.071 0.231 0.500
O2 0.177 0.500 0.250
# ΔE_f (raw), eV per formula unit: -8.98

(3)
# KLiMnO2 | Alexandria via LeMat-Bulk | meta-GGA SCAN | PBEsol geometry
data_KLiMnO2
_symmetry_space_group_name_H-M 'C 1 2/m 1'
_symmetry_Int_Tables_number 12
_symmetry_space_group_name_Hall '-C 2y'
_cell_length_a 10.867
_cell_length_b 3.411
_cell_length_c 8.286
_cell_angle_alpha 90.00
_cell_angle_beta 120.03
_cell_angle_gamma 90.00
loop_
_atom_site_label
_atom_site_fract_x
_atom_site_fract_y
_atom_site_fract_z
K1 0.161 0.000 0.133
Li1 0.160 0.500 0.446
Mn1 0.048 0.000 0.690
O1 0.029 0.500 0.804
O2 0.158 0.000 0.555
# ΔE_f (raw), eV per formula unit: -9.16

(4)
# K8Li9Mn4O16 | Alexandria via LeMat-Bulk | meta-GGA SCAN | PBEsol geometry
data_K8Li9Mn4O16
_symmetry_space_group_name_H-M 'P 1'
_symmetry_Int_Tables_number 1
_symmetry_space_group_name_Hall 'P 1'
_cell_length_a 5.484
_cell_length_b 8.515
_cell_length_c 10.545
_cell_angle_alpha 87.17
_cell_angle_beta 79.31
_cell_angle_gamma 88.41
loop_
_atom_site_label
_atom_site_fract_x
_atom_site_fract_y
_atom_site_fract_z
K1 0.000 0.000 0.000
K2 0.001 0.747 0.441
K3 0.276 0.426 0.192
K4 0.281 0.719 0.764
K5 0.470 0.233 0.943
K6 0.516 0.937 0.508
K7 0.746 0.515 0.690
K8 0.817 0.180 0.250
Li1 0.023 0.279 0.805
Li2 0.248 0.181 0.404
Li3 0.334 0.702 0.028
Li4 0.431 0.217 0.669
Li5 0.538 0.671 0.295
Li6 0.734 0.767 0.898
Li7 0.747 0.452 0.389
Li8 0.838 0.235 0.532
Li9 0.935 0.723 0.172
Mn1 0.307 0.439 0.523
Mn2 0.438 0.924 0.174
Mn3 0.830 0.508 0.028
Mn4 0.939 0.021 0.682
O1 0.011 0.033 0.510
O2 0.055 0.389 0.441
O3 0.188 0.071 0.756
O4 0.253 0.426 0.695
O5 0.267 0.740 0.209
O6 0.344 0.114 0.227
O7 0.495 0.908 0.006
O8 0.505 0.611 0.482
O9 0.524 0.265 0.474
O10 0.582 0.560 0.942
O11 0.693 0.879 0.253
O12 0.761 0.202 0.719
O13 0.781 0.512 0.209
O14 0.828 0.826 0.706
O15 0.934 0.309 0.998
O16 0.997 0.695 0.989
# ΔE_f (raw), eV per formula unit: -71.72

(5)
# K4Li3Mn2O8 | Alexandria via LeMat-Bulk | meta-GGA SCAN | PBEsol geometry
data_K4Li3Mn2O8
_symmetry_space_group_name_H-M 'P 1 c 1'
_symmetry_Int_Tables_number 7
_symmetry_space_group_name_Hall 'P -2yc'
_cell_length_a 5.538
_cell_length_b 8.401
_cell_length_c 11.108
_cell_angle_alpha 90.00
_cell_angle_beta 110.65
_cell_angle_gamma 90.00
loop_
_atom_site_label
_atom_site_fract_x
_atom_site_fract_y
_atom_site_fract_z
K1 0.000 0.048 0.000
K2 0.233 0.173 0.794
K3 0.511 0.210 0.490
K4 0.663 0.418 0.796
Li1 0.241 0.273 0.217
Li2 0.488 0.327 0.077
Li3 0.961 0.305 0.350
Mn1 0.713 0.079 0.205
Mn2 0.996 0.487 0.593
O1 0.057 0.117 0.277
O2 0.077 0.309 0.544
O3 0.117 0.356 0.036
O4 0.118 0.488 0.256
O5 0.543 0.109 0.041
O6 0.601 0.260 0.260
O7 0.672 0.499 0.041
O8 0.711 0.116 0.757
# ΔE_f (raw), eV per formula unit: -33.39

(6)
# K11LiMn4O16 | Alexandria via LeMat-Bulk | meta-GGA SCAN | PBEsol geometry
data_K11LiMn4O16
_symmetry_space_group_name_H-M 'I -4 2 m'
_symmetry_Int_Tables_number 121
_symmetry_space_group_name_Hall 'I -4 2'
_cell_length_a 7.854
_cell_length_b 7.854
_cell_length_c 17.114
_cell_angle_alpha 90.00
_cell_angle_beta 90.00
_cell_angle_gamma 90.00
loop_
_atom_site_label
_atom_site_fract_x
_atom_site_fract_y
_atom_site_fract_z
K1 0.000 0.000 0.000
K2 0.000 0.000 0.212
K3 0.000 0.500 0.000
K4 0.000 0.500 0.250
K5 0.198 0.198 0.622
Li1 0.000 0.000 0.500
Mn1 0.241 0.241 0.874
O1 0.031 0.277 0.887
O2 0.141 0.141 0.438
O3 0.212 0.212 0.280
# ΔE_f (raw), eV per formula unit: -63.07

Number 1: density 1.369 Mg/m³. Number 2: density 3.281 Mg/m³. Number 3: density 3.322 Mg/m³. Number 4: density 2.925 Mg/m³. Number 5: density 2.851 Mg/m³. Number 6: density 2.871 Mg/m³.